Entry 1:
## BaMnV2Pt (GGA-PBE)

Data for a geometry-optimized BaMnV2Pt structure.

a b c (Å): 4.552 5.098 4.552
angles (deg): 90.00 90.00 90.00
Last column: magnetic moment on the atom in μB.
Positions (direct):
V1 0.500 0.000 0.000  2.11
V2 0.000 0.000 0.500  1.84
Pt1 0.000 0.500 0.000  -0.15
Mn1 0.000 0.000 0.000  -1.97
Ba1 0.500 0.500 0.500  0.12

Computed properties:
- total DFT energy (no corrections) (eV/cell) = -33.2
- space-group type = P4/mmm (123)
- ΔH_f (0 K) (meV/atom) = 440

***

Entry 2:
## CeHo2Tl3S6 (GGA-PBE)

Data for a geometry-optimized CeHo2Tl3S6 structure.

a b c (Å): 7.063 7.063 7.871
angles (deg): 98.60 98.60 119.98
Last column: magnetic moment on the atom in μB.
Positions (direct):
Ce1 0.000 0.000 0.000  0.92
S1 0.409 0.066 0.199  -0.01
S2 0.591 0.934 0.801  -0.01
Tl1 0.834 0.166 0.500  0.00
Ho1 0.667 0.333 0.000  0.01
S3 0.066 0.409 0.199  -0.01
Ho2 0.333 0.667 0.000  0.01
Tl2 0.166 0.834 0.500  0.00
S4 0.934 0.591 0.801  -0.01
Tl3 0.500 0.500 0.500  0.00
S5 0.723 0.723 0.197  -0.01
S6 0.277 0.277 0.803  -0.01

Computed properties:
- uncorrected formation energy (meV per atom) = -1454.4
- total DFT energy (no corrections) (eV/cell) = -64.4
- space-group type = C2/m (12)

***

Entry 3:
## Pr6ZnAg (GGA-PBE)

Data for a geometry-optimized Pr6ZnAg structure.

a b c (Å): 9.735 9.735 9.735
angles (deg): 148.50 148.50 45.15
Positions (direct):
Ag1 0.000 0.000 0.000
Pr1 0.749 0.749 0.000
Zn1 0.500 0.500 0.000
Pr2 0.605 0.105 0.500
Pr3 0.395 0.895 0.500
Pr4 0.105 0.605 0.500
Pr5 0.895 0.395 0.500
Pr6 0.251 0.251 0.000

Computed properties:
- total DFT energy (no corrections) (eV/cell) = -33.8
- space-group type = I4/mmm (139)
- ΔH_f (0 K) (meV/atom) = -121

***

Entry 4:
## DyGaPd (GGA-PBE)

Data for a geometry-optimized DyGaPd structure.

a b c (Å): 4.572 4.572 4.572
angles (deg): 60.00 60.00 60.00
Positions (direct):
Ga1 0.000 0.000 0.000
Pd1 0.250 0.250 0.250
Dy1 0.500 0.500 0.500

Computed properties:
- total DFT energy (no corrections) (eV/cell) = -14.8
- space-group type = F-43m (216)
- ΔH_f (0 K) (meV/atom) = -667

***

Entry 5:
## BHBr2 (GGA-PBE)

Data for a geometry-optimized BHBr2 structure.

a b c (Å): 7.448 7.448 7.448
angles (deg): 30.24 30.24 30.24
Positions (direct):
H1 0.500 0.500 0.500
Br1 0.916 0.916 0.916
B1 0.000 0.000 0.000
Br2 0.084 0.084 0.084

Computed properties:
- total DFT energy (no corrections) (eV/cell) = -10.1
- space-group type = R-3m (166)
- energy above the lowest structure with this stoichiometry (meV/atom) = 1120

***

Entry 6:
## KZnO2 (GGA-PBE)

Data for a geometry-optimized KZnO2 structure.

a b c (Å): 7.078 7.078 7.078
angles (deg): 29.46 29.46 29.46
Last column: magnetic moment on the atom in μB.
Positions (direct):
K1 0.500 0.500 0.500  0.00
O1 0.915 0.915 0.915  0.40
O2 0.085 0.085 0.085  0.40
Zn1 0.000 0.000 0.000  0.04

Computed properties:
- uncorrected formation energy (meV per atom) = -797.2
- total DFT energy (no corrections) (eV/cell) = -15.5
- space-group type = R-3m (166)

***

Number 1: Fermi-level density of states 3.81 states/eV/f.u.. Number 2: Fermi-level density of states 5.24 states/eV/f.u.. Number 3: Fermi-level density of states 11.76 states/eV/f.u.. Number 4: Fermi-level density of states 3.93 states/eV/f.u.. Number 5: Fermi-level density of states 0.00 states/eV/f.u.. Number 6: Fermi-level density of states 2.65 states/eV/f.u..